An optimized crystal structure of CdHgBiSb. Source: Alexandria, functional PBE-GGA.

Cell: 7.6363 7.6363 7.6363 Å, 90.00 90.00 90.00°
Space group F-43m (No. 216)
One atom of each set of equivalent atoms:
Cd  0.0000  0.0000  0.0000 x4
Hg  0.2500  0.2500  0.2500 x4
Bi  0.0000  0.0000  0.5000 x4
Sb  0.2500  0.2500  0.7500 x4

ΔE_f (raw) in eV per formula unit: 0.530
Crystal system: cubic
Uncorrected energy in eV per atom: -2.17

=====

An optimized crystal structure of CdSiHgBi2. Source: Alexandria, functional PBE-GGA.

Cell: 5.9360 5.9360 4.7407 Å, 90.00 90.00 90.00°
Space group P4/mmm (No. 123)
One atom of each set of equivalent atoms:
Cd  0.0000  0.0000  0.0000 x1
Si  0.5000  0.5000  0.0000 x1
Hg  0.5000  0.5000  0.5000 x1
Bi  0.0000  0.5000  0.5000 x2

ΔE_f (raw) in eV per formula unit: 4.103
Crystal system: tetragonal
Uncorrected energy in eV per atom: -2.06

=====

An optimized crystal structure of CdSnHgBi. Source: Alexandria, functional PBE-GGA.

Cell: 6.0676 6.0498 7.3040 Å, 90.00 113.86 90.00°
Space group Cm (No. 8)
One atom of each set of equivalent atoms:
Cd  0.0000  0.0000  0.0000 x2
Sn  0.2172  0.0000  0.4317 x2
Hg  0.0051  0.5000  0.0113 x2
Bi  0.2789  0.5000  0.5581 x2

DFT formation energy in eV per atom: 0.061
Crystal system: monoclinic
Uncorrected energy in eV per atom: -2.21

=====

An optimized crystal structure of CdSnHg2Bi. Source: Alexandria, functional PBE-GGA.

Cell: 7.2275 4.7466 8.7542 Å, 90.00 109.43 90.00°
Space group P2_1/m (No. 11)
One atom of each set of equivalent atoms:
Cd  0.1778  0.2500  0.2882 x2
Sn  0.3900  0.7500  0.8425 x2
Hg  0.1228  0.7500  0.4814 x2
Hg  0.4950  0.7500  0.3517 x2
Bi  0.1526  0.2500  0.9312 x2

DFT formation energy in eV per atom: 0.042
Crystal system: monoclinic
Uncorrected energy in eV per atom: -1.84

=====

An optimized crystal structure of CdSnHgBi. Source: Alexandria, functional PBE-GGA.

Cell: 7.6164 7.6164 7.6164 Å, 90.00 90.00 90.00°
Space group F-43m (No. 216)
One atom of each set of equivalent atoms:
Cd  0.0000  0.0000  0.0000 x4
Sn  0.0000  0.0000  0.5000 x4
Hg  0.2500  0.2500  0.7500 x4
Bi  0.2500  0.2500  0.2500 x4

DFT formation energy in eV per atom: 0.060
Crystal system: cubic
Uncorrected energy in eV per atom: -2.21

=====

An optimized crystal structure of SrCd2Hg2Bi2. Source: Alexandria, functional PBE-GGA.

Cell: 5.4012 5.4012 25.7031 Å, 90.00 90.00 120.00°
Space group R-3m (No. 166, hexagonal axes)
One atom of each set of equivalent atoms:
Sr  0.0000  0.0000  0.0000 x3
Cd  0.0000  0.0000  0.3928 x6
Hg  0.0000  0.0000  0.1337 x6
Bi  0.0000  0.0000  0.2564 x6

DFT formation energy in eV per atom: -0.192
Crystal system: trigonal
Uncorrected energy in eV per atom: -1.89

=====

An optimized crystal structure of SrCdHgBi. Source: Alexandria, functional PBE-GGA.

Cell: 7.8772 7.8772 7.8772 Å, 90.00 90.00 90.00°
Space group F-43m (No. 216)
One atom of each set of equivalent atoms:
Sr  0.0000  0.0000  0.0000 x4
Cd  0.0000  0.0000  0.5000 x4
Hg  0.2500  0.2500  0.2500 x4
Bi  0.2500  0.2500  0.7500 x4

DFT formation energy in eV per atom: -0.398
Crystal system: cubic
Uncorrected energy in eV per atom: -2.09

=====

An optimized crystal structure of Sr2CdHgBi. Source: Alexandria, functional PBE-GGA.

Cell: 6.2551 6.2551 5.6387 Å, 90.00 90.00 90.00°
Space group P4/mmm (No. 123)
One atom of each set of equivalent atoms:
Sr  0.0000  0.5000  0.0000 x2
Cd  0.0000  0.0000  0.0000 x1
Hg  0.5000  0.5000  0.5000 x1
Bi  0.0000  0.0000  0.5000 x1

DFT formation energy in eV per atom: -0.068
Crystal system: tetragonal
Uncorrected energy in eV per atom: -1.76